Entry from Alexandria: AcFeBi2O8 after structural relaxation (PBE with a Hubbard U).

Structure (POSCAR):
```
AcFeBi2O8
1.0
5.347 0.000 0.000
-2.674 4.631 0.000
0.000 0.000 6.677
Ac Fe Bi O
1 1 2 8
Direct
0.000 0.000 0.500
0.000 0.000 0.000
0.667 0.333 0.120
0.333 0.667 0.880
0.930 0.673 0.849
0.327 0.256 0.849
0.744 0.070 0.849
0.070 0.327 0.151
0.673 0.744 0.151
0.256 0.930 0.151
0.667 0.333 0.428
0.333 0.667 0.572
```

**SG**: P-3 (147)
**Total DFT energy (no corrections)**: -5.9707 eV/atom
**Magnetization**: 1.0 μB/cell